*P*
Material: Ba2PdBr6
Method: DFT, GGA-PBE
State: optimized geometry

Output
- Volume: 382 Å³/f.u.
- Density: 3.74 g/cm³

Unit cell a=7.525 b=7.525 c=13.499 alpha=90.00 beta=90.00 gamma=90.00
Positions (direct):
Br: 0.831 0.169 0.869
Br: 0.331 0.331 0.631
Ba: 0.500 0.500 0.833
Br: 0.698 0.698 0.000
Ba: 0.000 0.000 0.333
Br: 0.669 0.669 0.369
Br: 0.331 0.331 0.369
Ba: 0.000 0.000 0.667
Ba: 0.500 0.500 0.167
Br: 0.831 0.169 0.131
Br: 0.169 0.831 0.869
Pd: 0.000 0.000 0.000
Br: 0.169 0.831 0.131
Pd: 0.500 0.500 0.500
Br: 0.198 0.802 0.500
Br: 0.669 0.669 0.631
Br: 0.802 0.198 0.500
Br: 0.302 0.302 0.000



*Q*
Material: Ba2PdBr6
Method: DFT, GGA-PBE
State: optimized geometry

Output
- Volume: 311 Å³/f.u.
- Density: 4.59 g/cm³

Unit cell a=6.677 b=9.281 c=10.040 alpha=90.00 beta=90.09 gamma=90.00
Positions (direct):
Br: 0.687 0.140 0.457
Br: 0.819 0.657 0.447
Pd: 0.500 0.500 0.000
Br: 0.319 0.843 0.947
Pd: 0.000 0.000 0.500
Br: 0.407 0.515 0.238
Ba: 0.068 0.626 0.734
Br: 0.907 0.985 0.738
Br: 0.181 0.343 0.553
Br: 0.813 0.640 0.043
Br: 0.187 0.360 0.957
Ba: 0.432 0.126 0.766
Ba: 0.568 0.874 0.234
Br: 0.313 0.860 0.543
Br: 0.593 0.485 0.762
Ba: 0.932 0.374 0.266
Br: 0.093 0.015 0.262
Br: 0.681 0.157 0.053



Last place for stability: *P*